1.
A plane-wave DFT calculation with PBE-GGA was carried out for an optimized crystal structure of InPb2Au2.

Total magnetization (μB/f.u.): 0.000
Crystal system: tetragonal
V (Å³ per atom): 29.02
DFT formation energy (meV/atom): 97
Space-group type: I4/mmm (139)

a b c (Å): 7.0855 7.0855 7.0855
angles (deg): 140.10 140.10 57.71
Sites, in units of the cell vectors:
In 0.0000 0.0000 0.0000
Pb 0.3729 0.3729 0.0000
Pb 0.6271 0.6271 0.0000
Au 0.2500 0.7500 0.5000
Au 0.7500 0.2500 0.5000


2.
A plane-wave DFT calculation with PBE-GGA was carried out for an optimized crystal structure of Rb2Nd2PuS6.

Total magnetization (μB/f.u.): 4.000
Formation energy (no corrections) (meV per atom): -1704
Crystal system: monoclinic
V (Å³ per atom): 31.73
Space-group type: C2/m (12)

a b c (Å): 7.1497 7.1497 8.2207
angles (deg): 98.50 98.50 119.67
Sites, in units of the cell vectors:
Rb 0.1693 0.8307 0.0000
Rb 0.8307 0.1693 0.0000
Nd 0.3339 0.6661 0.5000
Nd 0.6661 0.3339 0.5000
Pu 0.0000 0.0000 0.5000
S 0.0613 0.3820 0.6883
S 0.2510 0.2510 0.3122
S 0.3820 0.0613 0.6883
S 0.6180 0.9387 0.3117
S 0.7490 0.7490 0.6878
S 0.9387 0.6180 0.3117


3.
A plane-wave DFT calculation with PBE-GGA was carried out for an optimized crystal structure of Ba2TiInS5.

Total magnetization (μB/f.u.): 1.001
Formation energy (no corrections) (meV per atom): -1443
Crystal system: orthorhombic
V (Å³ per atom): 25.91
Space-group type: Cmc2_1 (36)

a b c (Å): 9.2149 9.2149 12.7703
angles (deg): 90.00 90.00 154.52
Sites, in units of the cell vectors:
Ba 0.1203 0.8797 0.5000
Ba 0.1380 0.8620 0.1139
Ba 0.8620 0.1380 0.6139
Ba 0.8797 0.1203 0.0000
Ti 0.2177 0.7823 0.8311
Ti 0.7823 0.2177 0.3311
In 0.4429 0.5571 0.2583
In 0.5571 0.4429 0.7583
S 0.0579 0.9421 0.8697
S 0.2905 0.7095 0.4494
S 0.3082 0.6918 0.1956
S 0.3466 0.6534 0.8129
S 0.4967 0.5033 0.5888
S 0.5033 0.4967 0.0888
S 0.6534 0.3466 0.3129
S 0.6918 0.3082 0.6956
S 0.7095 0.2905 0.9494
S 0.9421 0.0579 0.3697


4.
A plane-wave DFT calculation with PBE-GGA was carried out for an optimized crystal structure of YGe3Rh2.

Total magnetization (μB/f.u.): 0.000
Crystal system: monoclinic
V (Å³ per atom): 17.93
DFT formation energy (meV/atom): -607
Space-group type: C2/m (12)

a b c (Å): 7.9526 7.9526 7.3108
angles (deg): 112.47 112.47 30.45
Sites, in units of the cell vectors:
Y 0.1278 0.1278 0.1510
Y 0.8722 0.8722 0.8490
Ge 0.0370 0.0370 0.6796
Ge 0.3200 0.3200 0.1039
Ge 0.3328 0.3328 0.5262
Ge 0.6672 0.6672 0.4738
Ge 0.6800 0.6800 0.8961
Ge 0.9630 0.9630 0.3204
Rh 0.2090 0.2090 0.7142
Rh 0.4958 0.4958 0.1851
Rh 0.5042 0.5042 0.8149
Rh 0.7910 0.7910 0.2858


5.
A plane-wave DFT calculation with PBE-GGA was carried out for an optimized crystal structure of ZrTaTc2.

Total magnetization (μB/f.u.): 0.000
Crystal system: tetragonal
V (Å³ per atom): 17.19
DFT formation energy (meV/atom): -85
Space-group type: P4mm (99)

a b c (Å): 3.2181 3.2181 6.6399
angles (deg): 90.00 90.00 90.00
Sites, in units of the cell vectors:
Zr 0.0000 0.0000 0.0000
Ta 0.5000 0.5000 0.2813
Tc 0.0000 0.0000 0.5144
Tc 0.5000 0.5000 0.7431


6.
A plane-wave DFT calculation with PBE-GGA was carried out for an optimized crystal structure of Li5YS4.

Total magnetization (μB/f.u.): 0.000
Formation energy (no corrections) (meV per atom): -1506
Crystal system: orthorhombic
V (Å³ per atom): 18.69
Space-group type: Immm (71)

a b c (Å): 7.8625 7.8625 7.8625
angles (deg): 151.21 126.36 62.02
Sites, in units of the cell vectors:
Li 0.0000 0.0000 0.0000
Li 0.1092 0.3217 0.7875
Li 0.4657 0.6783 0.7875
Li 0.5343 0.3217 0.2125
Li 0.8908 0.6783 0.2125
Y 0.5000 0.0000 0.5000
S 0.2347 0.5000 0.7347
S 0.2912 0.7912 0.5000
S 0.7088 0.2088 0.5000
S 0.7653 0.5000 0.2653


7.
A plane-wave DFT calculation with PBE-GGA was carried out for an optimized crystal structure of BaAlTlFe2.

Total magnetization (μB/f.u.): 5.125
Crystal system: tetragonal
V (Å³ per atom): 33.57
DFT formation energy (meV/atom): 1829
Space-group type: P4/mmm (123)

a b c (Å): 5.2964 5.2964 5.9828
angles (deg): 90.00 90.00 90.00
Sites, in units of the cell vectors:
Ba 0.0000 0.0000 0.0000
Al 0.0000 0.0000 0.5000
Tl 0.5000 0.5000 0.5000
Fe 0.0000 0.5000 0.0000
Fe 0.5000 0.0000 0.0000


8.
A plane-wave DFT calculation with PBE-GGA was carried out for an optimized crystal structure of Zr3NbCd.

Total magnetization (μB/f.u.): 0.000
Crystal system: monoclinic
V (Å³ per atom): 22.82
DFT formation energy (meV/atom): 194
Space-group type: C2/m (12)

a b c (Å): 9.8329 9.8329 7.7139
angles (deg): 92.16 92.16 17.83
Sites, in units of the cell vectors:
Zr 0.0402 0.0402 0.1880
Zr 0.1869 0.1869 0.5532
Zr 0.3838 0.3838 0.1032
Zr 0.6162 0.6162 0.8968
Zr 0.8131 0.8131 0.4468
Zr 0.9598 0.9598 0.8120
Nb 0.4399 0.4399 0.4431
Nb 0.5601 0.5601 0.5569
Cd 0.2149 0.2149 0.1627
Cd 0.7851 0.7851 0.8373


9.
A plane-wave DFT calculation with PBE-GGA was carried out for an optimized crystal structure of NiMoP8.

Total magnetization (μB/f.u.): 0.000
Crystal system: trigonal
V (Å³ per atom): 14.87
DFT formation energy (meV/atom): -278
Space-group type: P-31c (163)

a b c (Å): 6.2522 6.2522 8.7839
angles (deg): 90.00 90.00 120.00
Sites, in units of the cell vectors:
Ni 0.0000 0.0000 0.0000
Ni 0.0000 0.0000 0.5000
Mo 0.3333 0.6667 0.2500
Mo 0.6667 0.3333 0.7500
P 0.0447 0.3202 0.6532
P 0.0447 0.7245 0.8468
P 0.2755 0.3202 0.8468
P 0.2755 0.9553 0.6532
P 0.3202 0.0447 0.1532
P 0.3202 0.2755 0.3468
P 0.3333 0.6667 0.5371
P 0.3333 0.6667 0.9629
P 0.6667 0.3333 0.0371
P 0.6667 0.3333 0.4629
P 0.6798 0.7245 0.6532
P 0.6798 0.9553 0.8468
P 0.7245 0.0447 0.3468
P 0.7245 0.6798 0.1532
P 0.9553 0.2755 0.1532
P 0.9553 0.6798 0.3468


10.
A plane-wave DFT calculation with PBE-GGA was carried out for an optimized crystal structure of Os5Pb.

Total magnetization (μB/f.u.): 0.001
Crystal system: orthorhombic
V (Å³ per atom): 15.96
DFT formation energy (meV/atom): 615
Space-group type: Amm2 (38)

a b c (Å): 4.3733 7.7892 7.7892
angles (deg): 21.15 90.00 90.00
Sites, in units of the cell vectors:
Os 0.0000 0.0000 0.0000
Os 0.0000 0.3056 0.3056
Os 0.0000 0.6547 0.6547
Os 0.5000 0.1979 0.1979
Os 0.5000 0.5554 0.5554
Pb 0.5000 0.8795 0.8795


11.
A plane-wave DFT calculation with PBE-GGA was carried out for an optimized crystal structure of Sc4Tl5.

Total magnetization (μB/f.u.): 0.000
Crystal system: tetragonal
V (Å³ per atom): 24.60
DFT formation energy (meV/atom): -136
Space-group type: I4/mmm (139)

a b c (Å): 7.3791 7.3791 7.3791
angles (deg): 95.28 95.28 144.68
Sites, in units of the cell vectors:
Sc 0.0000 0.3246 0.3246
Sc 0.0000 0.6754 0.6754
Sc 0.3246 0.0000 0.3246
Sc 0.6754 0.0000 0.6754
Tl 0.0000 0.0000 0.0000
Tl 0.3286 0.3286 0.6571
Tl 0.3286 0.6714 0.0000
Tl 0.6714 0.3286 0.0000
Tl 0.6714 0.6714 0.3429


12.
A plane-wave DFT calculation with PBE-GGA was carried out for an optimized crystal structure of CdBi.

Total magnetization (μB/f.u.): 0.000
Crystal system: orthorhombic
V (Å³ per atom): 29.38
DFT formation energy (meV/atom): 65
Space-group type: Pmmn (59)

a b c (Å): 4.4042 4.4049 6.0571
angles (deg): 90.00 90.00 90.00
Sites, in units of the cell vectors:
Cd 0.2500 0.2500 0.0032
Cd 0.7500 0.7500 0.9968
Bi 0.2500 0.7500 0.6278
Bi 0.7500 0.2500 0.3722